# LiUInTe3 | Alexandria | GGA-PBE | relaxed
data_LiUInTe3
_cell_length_a 9.4875
_cell_length_b 4.4140
_cell_length_c 9.8905
_cell_angle_alpha 90.00
_cell_angle_beta 105.15
_cell_angle_gamma 90.00
_symmetry_space_group_name_H-M 'P 1 21/m 1'
_symmetry_Int_Tables_number 11
loop_
_symmetry_equiv_pos_as_xyz
'x,y,z'
'-x,-y,-z'
'-x,y+1/2,-z'
'x,-y+1/2,z'
loop_
_atom_site_label
_atom_site_type_symbol
_atom_site_fract_x
_atom_site_fract_y
_atom_site_fract_z
_atom_site_occupancy
Li1 Li 0.0795 0.2500 0.0925 1
U1 U 0.3266 0.7500 0.3412 1
In1 In 0.1895 0.2500 0.7457 1
Te1 Te 0.1172 0.2500 0.3798 1
Te2 Te 0.2232 0.7500 0.0275 1
Te3 Te 0.4464 0.7500 0.6644 1
# - total magnetic moment (Bohr magnetons per cell) = 4.0
# - ΔE_f (raw) (kcal/mol of atoms) = -13.683
# - crystal system = monoclinic